Material: Ac4SbAs2
Method: DFT, PBE
State: optimized geometry

Results
E (eV/atom): -5.408
Size of the total moment (μB/f.u.): 0.554
Space group: Cmcm, No. 63
DOS at the Fermi energy (states/eV per cell): 10.208

Cell lengths 4.5610, 7.7648, 15.1645 Å; angles 90.00, 90.00, 107.08 degrees
With the nearest neighbours (Å) after each atom.
Positions (direct):
Ac (0.5000, 0.0000, 0.5000)  4 As 3.19
Ac (0.7709, 0.5417, 0.1200)  3 As 3.06-3.15
Ac (0.5000, 0.0000, 0.0000)  4 As 3.19
Ac (0.7709, 0.5417, 0.3800)  3 As 3.06-3.15
Ac (0.0581, 0.1163, 0.2500)  2 As 3.10, 2 Sb 3.34
Ac (0.2291, 0.4583, 0.8800)  3 As 3.06-3.15
Ac (0.2291, 0.4583, 0.6200)  3 As 3.06-3.15
Ac (0.9419, 0.8837, 0.7500)  2 As 3.10, 2 Sb 3.34
As (0.1372, 0.2743, 0.4392)  6 Ac 3.06-3.19
As (0.8628, 0.7257, 0.5608)  6 Ac 3.06-3.19
As (0.1372, 0.2743, 0.0608)  6 Ac 3.06-3.19
As (0.8628, 0.7257, 0.9392)  6 Ac 3.06-3.19
Sb (0.3935, 0.7870, 0.2500)  6 Ac 3.34-3.52
Sb (0.6065, 0.2130, 0.7500)  6 Ac 3.34-3.52